The following is a PBE calculation of crystalline NdY3Tm at its relaxed geometry, from Alexandria via LeMat-Bulk.

The structure in CIF format:
```
data_NdY3Tm
_chemical_formula_sum 'Nd2 Y6 Tm2'
_symmetry_space_group_name_H-M 'P 1 21/m 1'
_symmetry_Int_Tables_number 11
_cell_length_a 3.634
_cell_length_b 11.616
_cell_length_c 8.510
_cell_angle_alpha 90.00
_cell_angle_beta 101.60
_cell_angle_gamma 90.00
loop_
_symmetry_equiv_pos_as_xyz
'x,y,z'
'-x,-y,-z'
'-x,y+1/2,-z'
'x,-y+1/2,z'
loop_
_atom_site_label
_atom_site_type_symbol
_atom_site_fract_x
_atom_site_fract_y
_atom_site_fract_z
_atom_site_occupancy
Nd1 Nd 0.096 0.250 0.484 1
Y1 Y 0.162 0.001 0.809 1
Y2 Y 0.351 0.250 0.135 1
Tm1 Tm 0.300 0.750 0.180 1
```

Results
For the volume, the calculation gives 351.9 Å³/cell. The calculation puts the offset from the most stable computed form at 282 meV per atom. For the total DFT energy (no corrections), the calculation gives -5.4376 eV per atom.